First-principles (PBE) data for CaLa2NdSb4 after structural relaxation, as listed in Alexandria via LeMat-Bulk.

ρ	5.8	Mg/m³
raw formation energy	-1.106	eV per atom
total magnetization	0.00	μB/cell

abc: 7.8784 4.5996 7.9819
angles: 90.00 109.69 90.00
With the nearest neighbours (Å) after each atom.
Space group P2/m (No. 10)
Unique sites:
Ca (0.0000, 0.0000, 0.0000) (multiplicity 1)  6 Sb 3.23
La (0.5000, 0.0000, 0.5000) (multiplicity 1)  6 Sb 3.25
La (0.5000, 0.5000, 0.0000) (multiplicity 1)  6 Sb 3.26
Nd (0.0000, 0.5000, 0.5000) (multiplicity 1)  6 Sb 3.22
Sb (0.2458, 0.0000, 0.7473) (multiplicity 2)  2 Nd 3.22, 1 Ca 3.23, 3 La 3.25-3.26
Sb (0.2470, 0.5000, 0.2505) (multiplicity 2)  1 Nd 3.22, 2 Ca 3.23, 3 La 3.25-3.26